# GGA-PBEsol NiAsIBr2, optimized geometry
data_NiAsIBr2
_space_group_name_H-M_alt 'P 1'
_space_group_IT_number 1
_cell_length_a 5.085
_cell_length_b 5.085
_cell_length_c 5.778
_cell_angle_alpha 90.00
_cell_angle_beta 90.00
_cell_angle_gamma 90.00
loop_
_space_group_symop_operation_xyz
'x,y,z'
loop_
_atom_site_label
_atom_site_fract_x
_atom_site_fract_y
_atom_site_fract_z
I1 0.000 0.000 0.500
Br1 0.500 0.000 0.000
Br2 0.000 0.500 0.000
As1 0.000 0.000 0.000
Ni1 0.500 0.500 0.500
# N(E_F), states/eV/atom: 1.506
# Raw formation energy, meV/atom: 641
# Space-group type: No. 123